DFT (PBE with a Hubbard U) results for a relaxed RbAlNiF6 crystal.

a = 7.145 Å, b = 7.145 Å, c = 7.145 Å
α = 120.34°, β = 119.54°, γ = 90.10°
Last column: magnetic moment on the atom in μB.
Sites, in units of the cell vectors:
1 F 0.336 0.586 0.750  0.04
2 F 0.697 0.415 0.859  0.02
3 F 0.943 0.161 0.359  0.02
4 F 0.953 0.203 0.750  0.00
5 F 0.047 0.797 0.250  0.00
6 F 0.303 0.161 0.718  0.02
7 F 0.057 0.415 0.218  0.02
8 F 0.943 0.585 0.782  0.02
9 F 0.697 0.839 0.282  0.02
10 F 0.664 0.414 0.250  0.04
11 F 0.303 0.585 0.141  0.02
12 F 0.057 0.839 0.641  0.02
13 Rb 0.376 0.126 0.250  0.00
14 Rb 0.624 0.874 0.750  0.00
15 Al 0.000 0.500 0.000  0.00
16 Al 0.000 0.000 0.500  0.00
17 Ni 0.500 0.500 0.000  1.83
18 Ni 0.000 0.500 0.500  1.83

Density   3.67 g/cm³
Volume   14.341 Å³/atom
Total energy   -5.046 eV per atom
Total magnetization   0.2208 μB per atom